(1)
# PBE Tl2In5Au3, optimized geometry
# **DOS(E_F)**: 15.2 states/eV per cell
# **Magnetic moment**: 0.00 μB/cell
# **Energy of formation from the pure elements**: -0.136 eV per atom
# **Total DFT energy (no corrections)**: -0.10885 hartree per atom
data_Tl2In5Au3
_chemical_formula_sum 'Tl8 In20 Au12'
_cell_length_a 4.607
_cell_length_b 28.428
_cell_length_c 7.647
_cell_angle_alpha 90.00
_cell_angle_beta 90.00
_cell_angle_gamma 90.00
_space_group_name_H-M_alt 'C m c 21'
_space_group_IT_number 36
_space_group_name_Hall 'C 2c -2'
loop_
_atom_site_label
_atom_site_type_symbol
_atom_site_fract_x
_atom_site_fract_y
_atom_site_fract_z
Tl1 Tl 0.000 0.022 0.000
Tl2 Tl 0.000 0.326 0.952
In1 In 0.000 0.100 0.623
In2 In 0.000 0.206 0.743
In3 In 0.000 0.207 0.170
In4 In 0.000 0.376 0.485
In5 In 0.000 0.449 0.840
Au1 Au 0.000 0.107 0.230
Au2 Au 0.000 0.274 0.456
Au3 Au 0.000 0.452 0.225



(2)
# PBE TlInAu4, optimized geometry
# **Polymorph energy (0 for the lowest one)**: 0.000 eV per atom
# **DOS(E_F)**: 8.7 states/eV per cell
# **Magnetic moment**: 0.00 μB/cell
# **Energy of formation from the pure elements**: -0.038 eV per atom
# **Total DFT energy (no corrections)**: -0.11297 hartree per atom
data_TlInAu4
_chemical_formula_sum 'Tl4 In4 Au16'
_cell_length_a 14.980
_cell_length_b 6.430
_cell_length_c 5.486
_cell_angle_alpha 90.00
_cell_angle_beta 100.93
_cell_angle_gamma 90.00
_space_group_name_H-M_alt 'C 1 2/c 1'
_space_group_IT_number 15
_space_group_name_Hall '-C 2yc'
loop_
_atom_site_label
_atom_site_type_symbol
_atom_site_fract_x
_atom_site_fract_y
_atom_site_fract_z
Tl1 Tl 0.000 0.132 0.250
In1 In 0.250 0.250 0.500
Au1 Au 0.097 0.477 0.644
Au2 Au 0.164 0.135 0.949



(3)
# PBE TlIn2Au3, optimized geometry
# **DOS(E_F)**: 6.4 states/eV per cell
# **Magnetic moment**: 0.00 μB/cell
# **Energy of formation from the pure elements**: -0.126 eV per atom
# **Total DFT energy (no corrections)**: -0.11288 hartree per atom
data_TlIn2Au3
_chemical_formula_sum 'Tl4 In8 Au12'
_cell_length_a 11.323
_cell_length_b 7.873
_cell_length_c 6.510
_cell_angle_alpha 90.00
_cell_angle_beta 90.00
_cell_angle_gamma 90.00
_space_group_name_H-M_alt 'C m c m'
_space_group_IT_number 63
_space_group_name_Hall '-C 2c 2'
loop_
_atom_site_label
_atom_site_type_symbol
_atom_site_fract_x
_atom_site_fract_y
_atom_site_fract_z
Tl1 Tl 0.000 0.139 0.250
In1 In 0.213 0.500 0.000
Au1 Au 0.000 0.493 0.750
Au2 Au 0.138 0.195 0.750



(4)
# PBE TlIn4Au4, optimized geometry
# **DOS(E_F)**: 7.5 states/eV per cell
# **Magnetic moment**: 0.00 μB/cell
# **Energy of formation from the pure elements**: -0.149 eV per atom
# **Total DFT energy (no corrections)**: -0.11341 hartree per atom
data_TlIn4Au4
_chemical_formula_sum 'Tl2 In8 Au8'
_cell_length_a 7.097
_cell_length_b 7.097
_cell_length_c 9.083
_cell_angle_alpha 90.00
_cell_angle_beta 90.00
_cell_angle_gamma 90.00
_space_group_name_H-M_alt 'P 42/n m c'
_space_group_IT_number 137
loop_
_space_group_symop_operation_xyz
'x,y,z'
'-x,-y,-z'
'-y+1/2,x,z+1/2'
'y+1/2,-x,-z+1/2'
'-x+1/2,-y+1/2,z'
'x+1/2,y+1/2,-z'
'y,-x+1/2,z+1/2'
'-y,x+1/2,-z+1/2'
'x+1/2,-y,-z'
'-x+1/2,y,z'
'-y,-x,-z+1/2'
'y,x,z+1/2'
'-x,y+1/2,-z'
'x,-y+1/2,z'
'y+1/2,x+1/2,-z+1/2'
'-y+1/2,-x+1/2,z+1/2'
loop_
_atom_site_label
_atom_site_type_symbol
_atom_site_fract_x
_atom_site_fract_y
_atom_site_fract_z
Tl1 Tl 0.250 0.750 0.250
In1 In 0.003 0.250 0.123
Au1 Au 0.048 0.250 0.430



(5)
# PBE TlIn2Au, optimized geometry
# **Polymorph energy (0 for the lowest one)**: 0.150 eV per atom
# **DOS(E_F)**: 3.3 states/eV per cell
# **Magnetic moment**: 0.00 μB/cell
# **Energy of formation from the pure elements**: 0.027 eV per atom
# **Total DFT energy (no corrections)**: -0.10118 hartree per atom
data_TlIn2Au
_chemical_formula_sum 'Tl2 In4 Au2'
_cell_length_a 4.641
_cell_length_b 4.641
_cell_length_c 9.335
_cell_angle_alpha 90.00
_cell_angle_beta 90.00
_cell_angle_gamma 90.00
_space_group_name_H-M_alt 'I -4 m 2'
_space_group_IT_number 119
_space_group_name_Hall 'I -4 -2'
loop_
_atom_site_label
_atom_site_type_symbol
_atom_site_fract_x
_atom_site_fract_y
_atom_site_fract_z
Tl1 Tl 0.000 0.000 0.000
In1 In 0.000 0.000 0.500
In2 In 0.000 0.500 0.250
Au1 Au 0.000 0.500 0.750



(6)
# PBE Tl4InAu4, optimized geometry
# **DOS(E_F)**: 7.4 states/eV per cell
# **Magnetic moment**: 0.00 μB/cell
# **Energy of formation from the pure elements**: -0.028 eV per atom
# **Total DFT energy (no corrections)**: -0.10440 hartree per atom
data_Tl4InAu4
_chemical_formula_sum 'Tl8 In2 Au8'
_cell_length_a 7.758
_cell_length_b 7.758
_cell_length_c 8.039
_cell_angle_alpha 90.00
_cell_angle_beta 90.00
_cell_angle_gamma 90.00
_space_group_name_H-M_alt 'P 42/n'
_space_group_IT_number 86
loop_
_space_group_symop_operation_xyz
'x,y,z'
'-x,-y,-z'
'-y,x+1/2,z+1/2'
'y,-x+1/2,-z+1/2'
'-x+1/2,-y+1/2,z'
'x+1/2,y+1/2,-z'
'y+1/2,-x,z+1/2'
'-y+1/2,x,-z+1/2'
loop_
_atom_site_label
_atom_site_type_symbol
_atom_site_fract_x
_atom_site_fract_y
_atom_site_fract_z
Tl1 Tl 0.021 0.677 0.137
In1 In 0.250 0.250 0.250
Au1 Au 0.010 0.317 0.499